1.
DFT (PBE-GGA) results for crystalline Cu2C at its relaxed geometry.

The structure belongs to space group P-31m (No. 162); the cell edges are 4.8423, 4.8423 and 4.7480 Å and the angles 90.00°, 90.00° and 120.00°. Symmetry generates all atoms from Cu at (0.0000, 0.3396, 0.2393), C at (0.0000, 0.0000, 0.0000) and C at (0.3333, 0.6667, 0.5000).

The magnetic moment comes out at 0.00 μB/cell. For the volume, the calculation gives 10.71 Å³/atom. Its offset from the most stable computed form is 245 meV per atom. Its formation energy is 0.91 eV/atom.

---

2.
DFT (PBE-GGA) results for crystalline CuC2 at its relaxed geometry.

The structure belongs to space group I4_1/amd (No. 141, origin choice 2); the cell edges are 2.498, 2.498 and 31.565 Å and the angles 90.00°, 90.00° and 90.00°. Symmetry generates all atoms from Cu at (0.000, 0.250, 0.314), C at (0.000, 0.250, 0.124) and C at (0.000, 0.250, 0.760).

The magnetic moment comes out at 0.00 μB/cell. For the volume, the calculation gives 8.21 Å³/atom. Its offset from the most stable computed form is 1386 meV per atom. Its formation energy is 1.62 eV/atom.

---

3.
DFT (PBE-GGA) results for crystalline CuC2 at its relaxed geometry.

The structure belongs to space group P6_3/mmc (No. 194); the cell edges are 4.3143, 4.3143 and 3.6367 Å and the angles 90.00°, 90.00° and 120.00°. Symmetry generates all atoms from Cu at (0.3333, 0.6667, 0.2500), C at (0.0000, 0.0000, 0.0000) and C at (0.3333, 0.6667, 0.7500).

The magnetic moment comes out at 0.00 μB/cell. For the volume, the calculation gives 9.77 Å³/atom. Its offset from the most stable computed form is 2497 meV per atom. Its formation energy is 2.73 eV/atom.

---

4.
DFT (PBE-GGA) results for crystalline CuC7 at its relaxed geometry.

The structure belongs to space group Fm-3m (No. 225); the cell edges are 6.324, 6.324 and 6.324 Å and the angles 90.00°, 90.00° and 90.00°. Symmetry generates all atoms from Cu at (0.000, 0.000, 0.000), C at (0.000, 0.000, 0.500) and C at (0.000, 0.250, 0.250).

The magnetic moment comes out at 0.00 μB/cell. For the volume, the calculation gives 7.90 Å³/atom. Its formation energy is 3.89 eV/atom.

---

5.
DFT (PBE-GGA) results for crystalline CuC2 at its relaxed geometry.

The structure belongs to space group R-3m (No. 166, hexagonal axes); the cell edges are 2.4622, 2.4622 and 22.1693 Å and the angles 90.00°, 90.00° and 120.00°. Symmetry generates all atoms from Cu at (0.0000, 0.0000, 0.0000) and C at (0.0000, 0.0000, 0.1667).

The magnetic moment comes out at 0.00 μB/cell. For the volume, the calculation gives 12.93 Å³/atom. Its offset from the most stable computed form is 36 meV per atom. Its formation energy is 0.27 eV/atom.

---

6.
DFT (PBE-GGA) results for crystalline CuC2 at its relaxed geometry.

The structure belongs to space group Cmmm (No. 65); the cell edges are 2.446, 15.843 and 2.551 Å and the angles 90.00°, 90.00° and 90.00°. Symmetry generates all atoms from Cu at (0.000, 0.122, 0.000), C at (0.000, 0.000, 0.500), C at (0.000, 0.272, 0.500) and C at (0.000, 0.500, 0.000).

The magnetic moment comes out at 0.00 μB/cell. For the volume, the calculation gives 8.24 Å³/atom. Its offset from the most stable computed form is 1385 meV per atom. Its formation energy is 1.62 eV/atom.

---

7.
DFT (PBE-GGA) results for crystalline Cu2C at its relaxed geometry.

The structure belongs to space group R3m (No. 160, hexagonal axes); the cell edges are 2.7790, 2.7790 and 13.8485 Å and the angles 90.00°, 90.00° and 120.00°. Symmetry generates all atoms from Cu at (0.0000, 0.0000, 0.0000), Cu at (0.0000, 0.0000, 0.1815) and C at (0.0000, 0.0000, 0.4244).

The magnetic moment comes out at 0.00 μB/cell. For the volume, the calculation gives 10.29 Å³/atom. Its offset from the most stable computed form is 306 meV per atom. Its formation energy is 0.97 eV/atom.

---

8.
DFT (PBE-GGA) results for crystalline CuC2 at its relaxed geometry.

The structure belongs to space group Fm-3m (No. 225); the cell edges are 4.784, 4.784 and 4.784 Å and the angles 90.00°, 90.00° and 90.00°. Symmetry generates all atoms from Cu at (0.000, 0.000, 0.000) and C at (0.250, 0.250, 0.250).

The magnetic moment comes out at 0.00 μB/cell. For the volume, the calculation gives 9.13 Å³/atom. Its offset from the most stable computed form is 2240 meV per atom. Its formation energy is 2.47 eV/atom.

---

9.
DFT (PBE-GGA) results for crystalline Cu2C at its relaxed geometry.

The structure belongs to space group P4/nmm (No. 129, origin choice 2); the cell edges are 3.397, 3.397 and 5.268 Å and the angles 90.00°, 90.00° and 90.00°. Symmetry generates all atoms from Cu at (0.250, 0.250, 0.113), Cu at (0.250, 0.750, 0.500) and C at (0.250, 0.250, 0.745).

The magnetic moment comes out at 0.00 μB/cell. For the volume, the calculation gives 10.13 Å³/atom. Its offset from the most stable computed form is 389 meV per atom. Its formation energy is 1.05 eV/atom.

---

10.
DFT (PBE-GGA) results for crystalline CuC2 at its relaxed geometry.

The structure belongs to space group I4_1/amd (No. 141, origin choice 2); the cell edges are 3.399, 3.399 and 8.247 Å and the angles 90.00°, 90.00° and 90.00°. Symmetry generates all atoms from Cu at (0.000, 0.250, 0.375) and C at (0.000, 0.250, 0.783).

The magnetic moment comes out at 0.00 μB/cell. For the volume, the calculation gives 7.94 Å³/atom. Its offset from the most stable computed form is 1467 meV per atom. Its formation energy is 1.70 eV/atom.

---

11.
DFT (PBE-GGA) results for crystalline Cu2C at its relaxed geometry.

The structure belongs to space group Pnnm (No. 58); the cell edges are 4.261, 4.661 and 3.284 Å and the angles 90.00°, 90.00° and 90.00°. Symmetry generates all atoms from Cu at (0.156, 0.221, 0.000) and C at (0.000, 0.000, 0.500).

The magnetic moment comes out at 0.00 μB/cell. For the volume, the calculation gives 10.87 Å³/atom. Its offset from the most stable computed form is 227 meV per atom. Its formation energy is 0.89 eV/atom.

---

12.
DFT (PBE-GGA) results for crystalline Cu3C2 at its relaxed geometry.

The structure belongs to space group R-3m (No. 166, hexagonal axes); the cell edges are 2.9674, 2.9674 and 20.1213 Å and the angles 90.00°, 90.00° and 120.00°. Symmetry generates all atoms from Cu at (0.0000, 0.0000, 0.0000), Cu at (0.0000, 0.0000, 0.2178) and C at (0.0000, 0.0000, 0.3955).

The magnetic moment comes out at 0.00 μB/cell. For the volume, the calculation gives 10.23 Å³/atom. Its offset from the most stable computed form is 186 meV per atom. Its formation energy is 1.31 eV/atom.

---

13.
DFT (PBE-GGA) results for crystalline CuC2 at its relaxed geometry.

The structure belongs to space group C2/m (No. 12); the cell edges are 8.383, 2.559 and 7.587 Å and the angles 90.00°, 123.43° and 90.00°. Symmetry generates all atoms from Cu at (0.092, 0.000, 0.184), C at (0.213, 0.000, 0.000) and C at (0.233, 0.500, 0.467).

The magnetic moment comes out at 0.00 μB/cell. For the volume, the calculation gives 11.32 Å³/atom. Its offset from the most stable computed form is 655 meV per atom. Its formation energy is 0.89 eV/atom.

---

14.
DFT (PBE-GGA) results for crystalline Cu2C at its relaxed geometry.

The structure belongs to space group P-3m1 (No. 164); the cell edges are 2.9549, 2.9549 and 4.2385 Å and the angles 90.00°, 90.00° and 120.00°. Symmetry generates all atoms from Cu at (0.3333, 0.6667, 0.2588) and C at (0.0000, 0.0000, 0.0000).

The magnetic moment comes out at 0.00 μB/cell. For the volume, the calculation gives 10.68 Å³/atom. Its offset from the most stable computed form is 380 meV per atom. Its formation energy is 1.04 eV/atom.

---

15.
DFT (PBE-GGA) results for crystalline Cu2C at its relaxed geometry.

The structure belongs to space group P-6m2 (No. 187); the cell edges are 2.7279, 2.7279 and 5.1303 Å and the angles 90.00°, 90.00° and 120.00°. Symmetry generates all atoms from Cu at (0.0000, 0.0000, 0.2484) and C at (0.3333, 0.6667, 0.0000).

The magnetic moment comes out at 0.00 μB/cell. For the volume, the calculation gives 11.02 Å³/atom. Its offset from the most stable computed form is 431 meV per atom. Its formation energy is 1.10 eV/atom.

---

16.
DFT (PBE-GGA) results for crystalline Cu2C at its relaxed geometry.

The structure belongs to space group P4_2/mnm (No. 136); the cell edges are 4.968, 4.968 and 2.652 Å and the angles 90.00°, 90.00° and 90.00°. Symmetry generates all atoms from Cu at (0.218, 0.218, 0.000) and C at (0.000, 0.000, 0.500).

The magnetic moment comes out at 0.00 μB/cell. For the volume, the calculation gives 10.91 Å³/atom. Its offset from the most stable computed form is 246 meV per atom. Its formation energy is 0.91 eV/atom.

---

17.
DFT (PBE-GGA) results for crystalline CuC2 at its relaxed geometry.

The structure belongs to space group P6_3/mmc (No. 194); the cell edges are 3.0856, 3.0856 and 7.0896 Å and the angles 90.00°, 90.00° and 120.00°. Symmetry generates all atoms from Cu at (0.0000, 0.0000, 0.0000) and C at (0.3333, 0.6667, 0.1582).

The magnetic moment comes out at 0.00 μB/cell. For the volume, the calculation gives 9.74 Å³/atom. Its offset from the most stable computed form is 1185 meV per atom. Its formation energy is 1.42 eV/atom.

---

18.
DFT (PBE-GGA) results for crystalline Cu5C7 at its relaxed geometry.

The structure belongs to space group I4mm (No. 107); the cell edges are 7.634, 7.634 and 4.505 Å and the angles 90.00°, 90.00° and 90.00°. Symmetry generates all atoms from Cu at (0.000, 0.000, 0.000), Cu at (0.170, 0.170, 0.572), C at (0.000, 0.000, 0.414), C at (0.000, 0.368, 0.596) and C at (0.000, 0.500, 0.345).

The magnetic moment comes out at 0.00 μB/cell. For the volume, the calculation gives 10.94 Å³/atom. Its formation energy is 1.10 eV/atom.

---

19.
DFT (PBE-GGA) results for crystalline Cu5C at its relaxed geometry.

The structure belongs to space group Cm (No. 8); the cell edges are 8.569, 2.632 and 6.046 Å and the angles 90.00°, 103.43° and 90.00°. Symmetry generates all atoms from Cu at (0.000, 0.000, 0.000), Cu at (0.079, 0.000, 0.432), Cu at (0.179, 0.500, 0.792), Cu at (0.273, 0.500, 0.234), Cu at (0.379, 0.000, 0.612) and C at (0.324, 0.000, 0.000).

The magnetic moment comes out at 0.00 μB/cell. For the volume, the calculation gives 11.05 Å³/atom. Its offset from the most stable computed form is 0 meV per atom. Its formation energy is 0.48 eV/atom.

---

20.
DFT (PBE-GGA) results for crystalline CuC6 at its relaxed geometry.

The structure belongs to space group Cmmm (No. 65); the cell edges are 5.135, 13.731 and 4.896 Å and the angles 90.00°, 90.00° and 90.00°. Symmetry generates all atoms from Cu at (0.000, 0.000, 0.000), C at (0.000, 0.000, 0.370) and C at (0.128, 0.249, 0.000).

The magnetic moment comes out at 1.61 μB/cell. For the volume, the calculation gives 24.66 Å³/atom. Its formation energy is 1.26 eV/atom.

---

no.,theoretical density (g/cm³)
1,7.19
2,5.91
3,4.96
4,3.88
5,3.75
6,5.88
7,7.48
8,5.31
9,7.60
10,6.11
11,7.08
12,6.97
13,4.28
14,7.21
15,6.99
16,7.06
17,4.97
18,5.08
19,8.26
20,1.30